## Tb2ErTm4Sc (PBE)

Data for a relaxed Tb2ErTm4Sc crystal.

Cell: 4.9234 4.9263 10.9935 Å, 63.39 90.00 90.00°
Last column: nearest neighbours and their distance in Å.
Fractional coordinates of all 8 atoms:
Tb1 0.0000 0.0000 0.0000  4 Er 3.48, 8 Tm 3.50-3.51
Tb2 0.5000 0.0000 0.5000  8 Tm 3.45, 4 Sc 3.48
Er1 0.5000 0.5000 0.0000  4 Tb 3.48, 8 Tm 3.51
Tm1 0.0000 0.7545 0.7461  2 Sc 3.45, 4 Tb 3.45-3.51, 4 Tm 3.48, 2 Er 3.51
Tm2 0.0000 0.2455 0.2539  2 Sc 3.45, 4 Tb 3.45-3.51, 4 Tm 3.48, 2 Er 3.51
Tm3 0.5000 0.7453 0.2541  4 Tb 3.45-3.51, 2 Sc 3.45, 4 Tm 3.48, 2 Er 3.51
Tm4 0.5000 0.2547 0.7459  4 Tb 3.45-3.51, 2 Sc 3.45, 4 Tm 3.48, 2 Er 3.51
Sc1 0.0000 0.5000 0.5000  8 Tm 3.45, 4 Tb 3.48

## Properties
The value obtained for the energy relative to the elements is 0.28 eV/f.u. The calculation puts the total energy at -4.7206 eV per atom. The value obtained for the density of states at the Fermi level is 1.47 states/eV/atom. Its symmetry is No. 123.